NbP2SeO | GGA-PBE | relaxed

```
NbP2SeO
1.0
4.981 0.000 0.000
0.000 4.981 0.000
0.000 0.000 3.864
Nb P Se O
1 2 1 1
direct
0.000 0.000 0.000
0.000 0.500 0.000
0.500 0.000 0.000
0.500 0.500 0.500
0.000 0.000 0.500
```

Output
- energy above the most stable polymorph in this dataset (eV/f.u.) = 0.00
- SG = P4/mmm (123)

---

NbSiP2O | GGA-PBE | relaxed

```
NbSiP2O
1.0
4.734 0.000 0.000
0.000 4.734 0.000
0.000 0.000 3.263
Nb Si P O
1 1 2 1
direct
0.000 0.000 0.000
0.500 0.500 0.500
0.000 0.500 0.500
0.500 0.000 0.500
0.500 0.500 0.000
```

Output
- energy above the most stable polymorph in this dataset (eV/f.u.) = 0.00
- SG = P4/mmm (123)

---

NbSiP2O | GGA-PBE | relaxed

```
NbSiP2O
1.0
4.944 0.000 0.000
0.000 4.944 0.000
0.000 0.000 3.856
Nb Si P O
1 1 2 1
direct
0.000 0.000 0.000
0.500 0.500 0.500
0.000 0.500 0.000
0.500 0.000 0.000
0.000 0.000 0.500
```

Output
- energy above the most stable polymorph in this dataset (eV/f.u.) = 0.43
- SG = P4/mmm (123)

---

NbSnP2O | GGA-PBE | relaxed

```
NbSnP2O
1.0
5.005 0.000 0.000
0.000 5.005 0.000
0.000 0.000 3.905
Nb Sn P O
1 1 2 1
direct
0.000 0.000 0.000
0.500 0.500 0.500
0.000 0.500 0.000
0.500 0.000 0.000
0.000 0.000 0.500
```

Output
- energy above the most stable polymorph in this dataset (eV/f.u.) = 0.00
- SG = P4/mmm (123)

---

NbSnP2O | GGA-PBE | relaxed

```
NbSnP2O
1.0
5.024 0.000 0.000
0.000 5.024 0.000
0.000 0.000 3.850
Nb Sn P O
1 1 2 1
direct
0.000 0.000 0.000
0.500 0.500 0.500
0.000 0.500 0.500
0.500 0.000 0.500
0.500 0.500 0.000
```

Output
- energy above the most stable polymorph in this dataset (eV/f.u.) = 5.41
- SG = P4/mmm (123)

---

NbSnP2O8 | GGA-PBE | relaxed

```
NbSnP2O8
1.0
4.193 -2.686 0.000
4.193 2.686 0.000
-0.206 0.000 7.582
Nb Sn P O
1 1 2 8
direct
0.000 0.000 0.000
0.000 0.000 0.500
0.355 0.355 0.227
0.645 0.645 0.773
0.220 0.699 0.204
0.229 0.229 0.071
0.283 0.283 0.408
0.301 0.780 0.796
0.699 0.220 0.204
0.717 0.717 0.592
0.771 0.771 0.929
0.780 0.301 0.796
```

Output
- SG = C2/m (12)

---

SrNbP2O | GGA-PBE | relaxed

```
SrNbP2O
1.0
5.292 0.000 0.000
0.000 5.292 0.000
0.000 0.000 3.993
Sr Nb P O
1 1 2 1
direct
0.000 0.000 0.000
0.500 0.500 0.500
0.000 0.500 0.000
0.500 0.000 0.000
0.000 0.000 0.500
```

Output
- energy above the most stable polymorph in this dataset (eV/f.u.) = 10.76
- SG = P4/mmm (123)

---

SrNbPO2 | GGA-PBE | relaxed

```
SrNbPO2
1.0
4.162 0.000 0.000
0.000 4.162 0.000
0.000 0.000 6.008
Sr Nb P O
1 1 1 2
direct
0.000 0.000 0.000
0.500 0.500 0.500
0.000 0.000 0.500
0.000 0.500 0.000
0.500 0.000 0.000
```

Output
- energy above the most stable polymorph in this dataset (eV/f.u.) = 10.84
- SG = P4/mmm (123)

---

SrNbP2O8 | GGA-PBE | relaxed

```
SrNbP2O8
1.0
5.269 0.000 0.000
-2.634 4.563 0.000
0.000 0.000 7.138
Sr Nb P O
1 1 2 8
direct
0.000 0.000 0.000
0.000 0.000 0.500
0.333 0.667 0.759
0.667 0.333 0.241
0.172 0.347 0.682
0.175 0.828 0.682
0.333 0.667 0.970
0.347 0.175 0.318
0.653 0.825 0.682
0.667 0.333 0.030
0.825 0.172 0.318
0.828 0.653 0.318
```

Output
- SG = P-3 (147)

---

SrNbPO2 | GGA-PBE | relaxed

```
SrNbPO2
1.0
4.115 0.000 0.000
0.000 4.115 0.000
0.000 0.000 5.040
Sr Nb P O
1 1 1 2
direct
0.000 0.000 0.000
0.500 0.500 0.500
0.500 0.500 0.000
0.000 0.500 0.500
0.500 0.000 0.500
```

Output
- energy above the most stable polymorph in this dataset (eV/f.u.) = 0.00
- SG = P4/mmm (123)

---

SrNbP2O | GGA-PBE | relaxed

```
SrNbP2O
1.0
5.014 0.000 0.000
0.000 5.014 0.000
0.000 0.000 4.009
Sr Nb P O
1 1 2 1
direct
0.000 0.000 0.000
0.500 0.500 0.500
0.000 0.500 0.500
0.500 0.000 0.500
0.500 0.500 0.000
```

Output
- energy above the most stable polymorph in this dataset (eV/f.u.) = 0.00
- SG = P4/mmm (123)

---

TaNbP2O | GGA-PBE | relaxed

```
TaNbP2O
1.0
4.901 0.000 0.000
0.000 4.901 0.000
0.000 0.000 3.743
Ta Nb P O
1 1 2 1
direct
0.000 0.000 0.000
0.500 0.500 0.500
0.000 0.500 0.500
0.500 0.000 0.500
0.500 0.500 0.000
```

Output
- energy above the most stable polymorph in this dataset (eV/f.u.) = 1.37
- SG = P4/mmm (123)

---

So what do the calculations give for E_tot? Going down the list: -6.082; -6.469; -6.383; -6.485; -5.403; -7.482; -4.459; -5.118; -7.684; -7.286; -6.612; -7.598 eV/atom.
So what do the calculations give for V? Going down the list: 96; 73; 94; 98; 97; 171; 112; 104; 172; 85; 101; 90 Å³ per cell.
So what do the calculations give for total magnetic moment? Going down the list: 0.00; 0.56; 0.00; 0.00; 1.39; 1.00; 0.00; 2.22; 1.00; 0.00; 0.00; 0.96 μB per cell.